Here is a geometry-optimized MnCrHO2 structure from Alexandria via LeMat-Bulk. Energies are from PBE+U.

Polymorph energy (0 for the lowest one) in meV/atom: 47
Crystal system: orthorhombic
Magnetization in μB/f.u.: 8.0
N(E_F) in states/eV/f.u.: 0.33
V in Å³ per atom: 11.40

```
5
Lattice="-1.501 1.822 5.211 1.501 -1.822 5.211 1.501 1.822 -5.211" Properties=species:S:1:pos:R:3 pbc="T T T"
Mn 0.000 0.000 0.000
Cr 0.000 0.000 2.882
H 0.000 1.822 3.100
O 1.501 0.000 1.497
O 1.501 0.000 4.230
```